[1]
Material: Pr5Si6
Method: DFT, PBE
State: relaxed

The structure in POSCAR format:
```
Pr5Si6
1.0
4.497 0.000 0.000
0.000 3.923 -0.573
0.000 0.147 14.720
Pr Si
5 6
direct
0.500 0.804 0.607
0.500 0.196 0.393
0.000 0.613 0.225
0.000 0.387 0.775
0.000 0.000 0.000
0.500 0.541 0.081
0.500 0.459 0.919
0.000 0.723 0.447
0.000 0.277 0.553
0.500 0.910 0.820
0.500 0.090 0.180
```

Space-group type: No. 65
D(E_F) (states/eV/f.u.): 8.42
Formation energy from raw total energies (kJ/mol of formula units): -769
DFT total energy (eV per atom): -5.85



[2]
Material: Sm2Ho5Tm12
Method: DFT, PBE
State: relaxed

The structure in POSCAR format:
```
Sm2Ho5Tm12
1.0
5.851 1.650 -0.151
-1.491 8.521 -6.003
-0.183 -2.060 12.474
Sm Ho Tm
2 5 12
direct
0.579 0.842 0.815
0.421 0.158 0.185
0.263 0.473 0.553
0.158 0.684 0.132
0.000 0.000 0.500
0.842 0.316 0.868
0.737 0.527 0.447
0.947 0.105 0.290
0.105 0.788 0.921
0.632 0.735 0.026
0.210 0.580 0.342
0.684 0.632 0.237
0.526 0.948 0.605
0.474 0.052 0.395
0.790 0.420 0.658
0.316 0.368 0.763
0.895 0.212 0.079
0.368 0.265 0.974
0.053 0.895 0.710
```

Space-group type: No. 2
D(E_F) (states/eV/f.u.): 26.21
Formation energy (eV per atom): 0.02
DFT total energy (eV per atom): -4.50



[3]
Material: Tl2CoBr
Method: DFT, PBE
State: relaxed

The structure in POSCAR format:
```
Tl2CoBr
1.0
-7.521 0.669 3.889
-8.373 -1.171 -0.812
8.251 -1.987 -0.333
Br Co Tl
1 1 2
direct
0.406 0.406 0.000
0.296 0.796 0.500
0.066 0.066 0.000
0.732 0.232 0.500
```

Space-group type: No. 44
D(E_F) (states/eV/f.u.): 3.76
Formation energy from raw total energies (kJ/mol of formula units): 59
DFT total energy (eV per atom): -3.22



[4]
Material: Fe3Cu2Pd6
Method: DFT, PBE
State: relaxed

The structure in POSCAR format:
```
Fe3Cu2Pd6
1.0
3.666 -0.913 0.912
-1.016 7.369 3.164
1.385 7.206 9.909
Fe Cu Pd
3 2 6
direct
0.000 0.000 0.000
0.828 0.919 0.266
0.172 0.081 0.734
0.264 0.624 0.099
0.736 0.376 0.901
0.458 0.736 0.818
0.872 0.410 0.661
0.542 0.264 0.182
0.128 0.590 0.339
0.619 0.797 0.556
0.381 0.203 0.444
```

Space-group type: No. 2
D(E_F) (states/eV/f.u.): 7.77
Formation energy (eV per atom): -0.07
DFT total energy (eV per atom): -5.95